# ErScAl2Ir4

An optimized crystal structure of ErScAl2Ir4 (PBE, the Open Quantum Materials Database).

The calculation puts the total energy at -7.4749 eV per atom.

The structure belongs to space group P-6m2 (No. 187); the cell edges are 4.2481, 4.2481 and 8.9036 Å and the angles 90.00°, 90.00° and 120.00°. Symmetry generates all atoms from Er at (0.0000, 0.0000, 0.0000), Sc at (0.3333, 0.6667, 0.5000), Al at (0.6667, 0.3333, 0.2641), Ir at (0.0000, 0.0000, 0.3513) and Ir at (0.3333, 0.6667, 0.1732).